# 1
PBE Ho2UBiO8, relaxed; density = 8.2 g/cm3; uncorrected formation energy = -2.786 eV/atom
1.0
5.076 -0.093 -0.003
-0.073 5.074 -0.006
0.004 0.008 7.077
Ho U Bi O
2 1 1 8
direct
0.500 0.500 0.751
0.500 0.500 0.249
0.000 0.000 0.000
0.000 0.000 0.500
0.187 0.813 0.230
0.707 0.707 0.000
0.813 0.187 0.231
0.813 0.187 0.770
0.293 0.293 0.000
0.187 0.813 0.769
0.690 0.690 0.500
0.310 0.310 0.500


# 2
PBE CsCaZr2, relaxed; density = 4.7 g/cm3; energy of formation from the pure elements = 1.33 eV per atom
1.0
-0.118 -2.051 -8.857
-7.295 -5.264 1.316
-5.539 -1.251 -4.303
Cs Ca Zr
2 2 4
direct
0.000 0.000 0.000
0.750 0.250 0.500
0.500 0.500 0.000
0.250 0.750 0.500
0.643 0.125 0.250
0.107 0.625 0.250
0.375 0.357 0.750
0.875 0.893 0.750


Number 1: density of states at the Fermi level 3.0 states/eV per cell. Number 2: density of states at the Fermi level 14.4 states/eV per cell.